Pu2Ga3Pd4Au | Alexandria via LeMat-Bulk | PBE-GGA | relaxed; magnetic moment = 10.94 μB/f.u.; formation energy = -5.491 eV/f.u.; E_tot = -6.728 eV per atom; mass density = 11.34 Mg/m³
1.0
4.055 0.000 0.000
0.000 4.055 0.000
0.000 0.000 11.752
Pu Ga Pd Au
2 3 4 1
Direct
0.000 0.500 0.241
0.500 0.000 0.759
0.000 0.000 0.000
0.000 0.500 0.629
0.500 0.000 0.371
0.000 0.000 0.500
0.000 0.500 0.840
0.500 0.000 0.160
0.500 0.500 0.500
0.500 0.500 0.000